# 1
TlFe3 | GGA-PBE | optimized geometry

Cell: 4.8760 4.8760 4.8760 Å, 90.00 90.00 90.00°
With the nearest neighbours (Å) after each atom.
Sites, in units of the cell vectors:
Tl  0.0000  0.0000  0.0000  12 Fe 2.73
Tl  0.5000  0.5000  0.5000  12 Fe 2.73
Fe  0.7500  0.5000  0.0000  2 Fe 2.44, 4 Tl 2.73
Fe  0.2500  0.5000  0.0000  2 Fe 2.44, 4 Tl 2.73
Fe  0.0000  0.7500  0.5000  2 Fe 2.44, 4 Tl 2.73
Fe  0.0000  0.2500  0.5000  2 Fe 2.44, 4 Tl 2.73
Fe  0.5000  0.0000  0.2500  2 Fe 2.44, 4 Tl 2.73
Fe  0.5000  0.0000  0.7500  2 Fe 2.44, 4 Tl 2.73

crystal system: cubic
total DFT energy (no corrections): -0.476 Ry/atom
formation enthalpy at 0 K: 1.822 eV/f.u.
size of the total moment: 7.28 μB per formula unit
space group: No. 223

=====

# 2
Tl5Fe3 | GGA-PBE | optimized geometry

Cell: 7.6795 7.6795 3.2314 Å, 90.00 90.00 100.50°
With the nearest neighbours (Å) after each atom.
Sites, in units of the cell vectors:
Tl  0.0000  0.0000  0.0000  6 Tl 3.15-3.23
Tl  0.0000  0.5000  0.0000  4 Fe 3.09, 6 Tl 3.23-3.37
Tl  0.5000  0.0000  0.0000  4 Fe 3.09, 6 Tl 3.23-3.37
Tl  0.2752  0.2752  0.5000  4 Fe 2.74-2.97
Tl  0.7248  0.7248  0.5000  4 Fe 2.74-2.97
Fe  0.5000  0.5000  0.0000  4 Fe 2.56, 4 Tl 2.74
Fe  0.6680  0.3320  0.5000  2 Fe 2.56
Fe  0.3320  0.6680  0.5000  2 Fe 2.56

crystal system: orthorhombic
total DFT energy (no corrections): -0.302 Ry/atom
formation enthalpy at 0 K: 4.369 eV/f.u.
size of the total moment: 8.29 μB per formula unit
space group: No. 65
energy above the most stable polymorph in this dataset: 3.03 kcal/mol of atoms

=====

# 3
TlFe | GGA-PBE | optimized geometry

Cell: 4.8413 4.8413 4.8413 Å, 37.58 37.58 37.58°
With the nearest neighbours (Å) after each atom.
Sites, in units of the cell vectors:
Fe  0.0000  0.0000  0.0000  6 Tl 2.88, 6 Fe 3.12
Tl  0.5000  0.5000  0.5000  6 Fe 2.88, 6 Tl 3.12

crystal system: trigonal
total DFT energy (no corrections): -0.345 Ry/atom
formation enthalpy at 0 K: 1.429 eV/f.u.
size of the total moment: 2.74 μB per formula unit
space group: No. 166